# 1
FeRh2 meta-GGA SCAN single point on PBEsol structure; space group = P2_1/m; formation enthalpy at 0 K = -1.69 kcal/mol of atoms
1.0
4.538 0.000 0.000
0.000 2.647 0.000
-0.016 0.000 6.399
Fe Rh
2 4
Direct
0.083 0.250 0.162
0.917 0.750 0.838
0.247 0.750 0.496
0.411 0.250 0.838
0.589 0.750 0.162
0.753 0.250 0.504


# 2
FeRh meta-GGA SCAN single point on PBEsol structure; space group = C2; formation enthalpy at 0 K = -1.57 kcal/mol of atoms
1.0
2.243 -3.919 0.000
2.243 3.919 0.000
-1.454 0.000 4.225
Fe Rh
3 3
Direct
0.000 0.000 0.000
0.336 0.664 0.000
0.831 0.169 0.500
0.165 0.835 0.500
0.496 0.504 0.500
0.672 0.328 0.000